Entry 1:
! PBE-GGA Sc6Sn3H, relaxed; values from VASP
&SYSTEM
  ibrav = 0, nat = 20, ntyp = 3
/
ATOMIC_SPECIES
Sc 44.96 Sc.upf
Sn 118.71 Sn.upf
H 1.01 H.upf
CELL_PARAMETERS angstrom
-0.8887 4.3647 -0.6634
-9.2509 -1.5419 2.2483
3.6374 2.0615 8.6908
ATOMIC_POSITIONS angstrom
Sc -4.8854 0.7144 6.7011
Sn -2.7833 2.5599 0.7439
Sc -3.0042 0.5403 3.0351
Sc -0.1826 3.9862 6.6391
Sc -5.6702 2.1026 1.5990
H -7.0932 2.0486 3.1850
H 0.7731 1.9414 7.2267
Sc -6.1396 0.0141 3.7710
Sn -4.5959 2.7519 4.4330
Sc -8.8591 1.5598 2.3020
Sn -1.7261 1.2477 5.9771
Sc -3.3178 3.4593 7.3751
Sn 0.2148 1.0915 2.3521
Sc -0.6519 1.8973 8.8111
Sc -7.5464 2.2762 5.2552
Sc -1.4366 3.2851 3.7091
Sc 2.5372 2.4395 8.1082
Sn -6.5367 2.9073 8.0582
Sn -3.5386 1.4389 9.6664
Sc 1.2243 1.7236 5.1549
! total magnetic moment	1.09	μB per formula unit
! DOS(E_F)	13.45	states/eV/cell
! space group	Cmc2_1, No. 36
! electronic total energy	-5.896	eV per atom

***

Entry 2:
! PBE-GGA TlSi2As, relaxed; values from VASP
&SYSTEM
  ibrav = 0, nat = 4, ntyp = 3
/
ATOMIC_SPECIES
Tl 204.38 Tl.upf
As 74.92 As.upf
Si 28.09 Si.upf
CELL_PARAMETERS angstrom
-1.2814 -2.8680 1.9723
2.7330 1.2566 3.6031
-3.4543 2.6981 1.6792
ATOMIC_POSITIONS angstrom
Tl 0.7258 -0.8057 2.7877
As -2.3678 -0.0850 1.8257
Si 0.0000 0.0000 0.0000
Si -0.3606 1.9773 2.6411
! energy relative to the elements, uncorrected	254	kJ/mol of formula units
! polymorph energy (0 for the lowest one)	409	meV per atom
! total magnetic moment	0.00	μB per formula unit
! DOS(E_F)	2.24	states/eV/cell
! space group	P4/mmm, No. 123

***

Entry 3:
! PBE-GGA Gd2MgAl, relaxed; values from VASP
&SYSTEM
  ibrav = 0, nat = 4, ntyp = 3
/
ATOMIC_SPECIES
Gd 157.25 Gd.upf
Al 26.98 Al.upf
Mg 24.30 Mg.upf
CELL_PARAMETERS angstrom
3.8050 0.0000 0.0000
0.0000 5.2066 0.0000
0.0000 0.0000 5.2066
ATOMIC_POSITIONS angstrom
Gd 0.0000 2.6033 0.0000
Al 1.9025 2.6033 2.6033
Gd 0.0000 0.0000 2.6033
Mg 1.9025 0.0000 0.0000
! total magnetic moment	14.77	μB per formula unit
! DOS(E_F)	3.24	states/eV/cell
! space group	P4/mmm, No. 123
! formation energy from the elements	-259	meV per atom

***

Entry 4:
! PBE-GGA PmAlZnAg3, relaxed; values from VASP
&SYSTEM
  ibrav = 0, nat = 12, ntyp = 4
/
ATOMIC_SPECIES
Ag 107.87 Ag.upf
Zn 65.41 Zn.upf
Al 26.98 Al.upf
Pm 145.00 Pm.upf
CELL_PARAMETERS angstrom
-2.6238 -2.5462 -4.8340
5.6615 -3.2562 -1.3579
-4.7309 -3.1567 4.2306
ATOMIC_POSITIONS angstrom
Ag 4.0049 -2.3034 -0.9605
Zn -2.1883 -2.4647 -3.2135
Al 0.3394 -4.8559 -3.3259
Zn 0.4951 -6.4944 1.2522
Ag 2.6930 -3.5765 -3.3775
Ag 1.6566 -0.9528 -0.3973
Ag -1.2509 -2.1347 -0.0964
Ag 0.3447 -2.2259 -2.8143
Ag -0.4423 -6.8244 -1.8648
Al -2.0326 -4.1032 1.3647
Pm -3.0648 -4.6718 -1.5752
Pm 1.3715 -4.2873 -0.3861
! total magnetic moment	0.00	μB per formula unit
! DOS(E_F)	6.54	states/eV/cell
! space group	Cmcm, No. 63
! formation energy from the elements	-83	meV per atom

***

Entry 5:
! PBE-GGA CdPd, relaxed; values from VASP
&SYSTEM
  ibrav = 0, nat = 12, ntyp = 2
/
ATOMIC_SPECIES
Cd 112.41 Cd.upf
Pd 106.42 Pd.upf
CELL_PARAMETERS angstrom
2.9445 0.0000 0.0000
0.0000 12.4338 0.0000
0.0000 0.0000 6.5395
ATOMIC_POSITIONS angstrom
Cd 0.0000 3.4147 5.1998
Cd 0.0000 9.6316 1.9301
Cd 0.0000 9.0191 5.1998
Pd 0.0000 0.0000 2.0307
Cd 0.0000 6.2169 2.6271
Pd 1.4722 1.4424 3.9219
Pd 1.4722 7.6593 0.6521
Pd 0.0000 6.2169 5.3005
Cd 0.0000 2.8022 1.9301
Cd 0.0000 0.0000 5.8969
Pd 1.4722 10.9914 3.9219
Pd 1.4722 4.7745 0.6521
! total magnetic moment	0.00	μB per formula unit
! DOS(E_F)	4.65	states/eV/cell
! space group	Amm2, No. 38
! formation energy from the elements	-215	meV per atom

***

Entry 6:
! PBE-GGA Te2IrSe, relaxed; values from VASP
&SYSTEM
  ibrav = 0, nat = 4, ntyp = 3
/
ATOMIC_SPECIES
Se 78.96 Se.upf
Te 127.60 Te.upf
Ir 192.22 Ir.upf
CELL_PARAMETERS angstrom
-2.2245 -3.2209 -0.8211
2.8628 -2.8179 3.2977
-1.5809 -0.1698 4.9490
ATOMIC_POSITIONS angstrom
Se -0.1508 -3.8512 5.7745
Te 0.0711 -0.1659 0.4582
Te 0.5699 -1.3279 3.6651
Ir -0.7918 -2.3573 1.6511
! energy relative to the elements, uncorrected	-4	kJ/mol of formula units
! total magnetic moment	0.00	μB per formula unit
! DOS(E_F)	1.89	states/eV/cell
! space group	Cmmm, No. 65

***

Entry 7:
! PBE-GGA Sc3Ge2S, relaxed; values from VASP
&SYSTEM
  ibrav = 0, nat = 6, ntyp = 3
/
ATOMIC_SPECIES
Sc 44.96 Sc.upf
Ge 72.64 Ge.upf
S 32.06 S.upf
CELL_PARAMETERS angstrom
3.3017 -0.0003 -1.3779
-1.0592 4.7263 -2.5391
0.9088 0.7048 6.8222
ATOMIC_POSITIONS angstrom
Sc 2.5104 4.4622 1.3696
Ge 0.1567 3.4002 0.3747
Ge 2.9946 2.0306 2.5306
Sc 0.6409 0.9686 1.5357
S 1.6509 -0.0002 -0.6889
Sc 1.1213 2.3630 -1.9585
! energy relative to the elements, uncorrected	-640	kJ/mol of formula units
! total magnetic moment	0.00	μB per formula unit
! DOS(E_F)	2.97	states/eV/cell
! space group	Immm, No. 71

***

Entry 8:
! PBE-GGA LaGeBrN2, relaxed; values from VASP
&SYSTEM
  ibrav = 0, nat = 10, ntyp = 4
/
ATOMIC_SPECIES
Br 79.90 Br.upf
Ge 72.64 Ge.upf
N 14.01 N.upf
La 138.91 La.upf
CELL_PARAMETERS angstrom
3.7201 0.0000 0.0000
0.0000 7.6059 -0.0654
0.0000 -1.7770 7.8108
ATOMIC_POSITIONS angstrom
Br 2.7901 6.9890 1.6155
Ge 0.9300 3.4839 2.9596
N 0.9300 2.0080 4.1493
Ge 2.7901 2.3451 4.7858
N 2.7901 3.8209 3.5960
N 0.9300 3.4280 1.1144
Br 0.9300 -1.1601 6.1299
La 2.7901 2.2052 0.2639
N 2.7901 2.4009 6.6310
La 0.9300 3.6237 7.4815
! energy relative to the elements, uncorrected	-381	kJ/mol of formula units
! total magnetic moment	0.00	μB per formula unit
! space group	P2_1/m, No. 11

***

Entry 9:
! PBE-GGA NaLi2InBr6, relaxed; values from VASP
&SYSTEM
  ibrav = 0, nat = 10, ntyp = 4
/
ATOMIC_SPECIES
Br 79.90 Br.upf
In 114.82 In.upf
Li 6.94 Li.upf
Na 22.99 Na.upf
CELL_PARAMETERS angstrom
7.0061 0.0011 0.0014
3.5040 6.0662 0.0005
3.5041 2.0225 6.4426
ATOMIC_POSITIONS angstrom
Br 8.2356 2.3075 4.8735
Br 9.3945 4.0699 1.5561
Br 7.8980 5.9769 4.8732
In 3.5036 2.0222 0.1615
Li 3.5045 2.0234 6.2960
Na 10.5097 6.0676 3.6164
Br 5.8346 1.9649 1.5540
Br 5.7922 6.0985 1.5538
Br 4.8895 3.8506 4.8725
Li 7.0056 4.0447 2.9626
! energy relative to the elements, uncorrected	-1182	kJ/mol of formula units
! total magnetic moment	0.00	μB per formula unit
! DOS(E_F)	0.00	states/eV/cell
! space group	R3, No. 146

***

Entry 10:
! PBE-GGA Dy5InSb2, relaxed; values from VASP
&SYSTEM
  ibrav = 0, nat = 16, ntyp = 3
/
ATOMIC_SPECIES
Dy 162.50 Dy.upf
In 114.82 In.upf
Sb 121.76 Sb.upf
CELL_PARAMETERS angstrom
5.6723 0.0000 0.0000
-2.8361 5.7280 0.0000
0.0000 0.0000 14.7193
ATOMIC_POSITIONS angstrom
Dy 2.8361 4.8654 8.7970
Dy 2.8361 1.3979 8.1021
Dy 0.0000 4.7227 11.0395
Dy 0.0000 0.8626 5.9223
In 0.0000 3.3521 3.6798
Dy 0.0000 4.3301 6.6172
Sb 0.0000 2.3282 8.9959
Dy 2.8361 4.8654 13.2819
Dy 0.0000 0.8626 1.4374
In 2.8361 2.3759 11.0395
Sb 2.8361 3.3998 5.7234
Dy 2.8361 1.0052 3.6798
Sb 0.0000 2.3282 13.0830
Dy 0.0000 4.3301 0.7424
Dy 2.8361 1.3979 13.9769
Sb 2.8361 3.3998 1.6363
! energy relative to the elements, uncorrected	-289	kJ/mol of formula units
! total magnetic moment	0.00	μB per formula unit
! DOS(E_F)	16.46	states/eV/cell
! space group	Cmcm, No. 63

***

Entry 11:
! PBE-GGA AcYCdRu, relaxed; values from VASP
&SYSTEM
  ibrav = 0, nat = 4, ntyp = 4
/
ATOMIC_SPECIES
Y 88.91 Y.upf
Cd 112.41 Cd.upf
Ac 227.00 Ac.upf
Ru 101.07 Ru.upf
CELL_PARAMETERS angstrom
5.2695 0.0000 0.0000
2.6347 4.5635 0.0000
2.6347 1.5212 4.3025
ATOMIC_POSITIONS angstrom
Y 0.0000 0.0000 0.0000
Cd 2.6347 1.5212 1.0756
Ac 5.2695 3.0423 2.1512
Ru 7.9042 4.5635 3.2269
! total magnetic moment	0.00	μB per formula unit
! DOS(E_F)	3.80	states/eV/cell
! space group	F-43m, No. 216
! formation energy from the elements	-110	meV per atom

***

Entry 12:
! PBE-GGA TaAlHg2, relaxed; values from VASP
&SYSTEM
  ibrav = 0, nat = 4, ntyp = 3
/
ATOMIC_SPECIES
Al 26.98 Al.upf
Hg 200.59 Hg.upf
Ta 180.95 Ta.upf
CELL_PARAMETERS angstrom
2.9351 0.0317 0.0000
-0.1247 2.9326 0.0000
0.0000 0.0000 9.2914
ATOMIC_POSITIONS angstrom
Al 1.4052 1.4822 6.7478
Hg 1.4052 1.4822 2.5612
Hg 0.0000 0.0000 9.1023
Ta 0.0000 0.0000 4.8171
! total magnetic moment	0.00	μB per formula unit
! DOS(E_F)	2.00	states/eV/cell
! space group	Cmm2, No. 35
! formation energy from the elements	172	meV per atom